Pa4Tc: relaxed, PBE.

Cell lengths 6.0006, 6.0006, 13.2545 Å; angles 90.00, 90.00, 90.00 degrees
Last column: nearest neighbours and their distance in Å.
Space group I4_1/a (No. 88, origin choice 2)
Inequivalent atoms, fractional coordinates:
Pa1 0.1447 0.0104 0.1917 x16  2 Tc 2.79-3.02, 2 Pa 2.96
Tc1 0.0000 0.2500 0.6250 x4  8 Pa 2.79-3.02

Values from the calculation:
The value obtained for the formation energy is 0.01 eV per atom. The calculation puts the polymorph energy (0 for the lowest one) at 0 meV/atom. The uncorrected energy is -0.7099 Ry per atom.



PaTc3: relaxed, PBE.

Cell lengths 4.1824, 4.1824, 7.7016 Å; angles 90.00, 90.00, 90.00 degrees
Last column: nearest neighbours and their distance in Å.
Space group I4/mmm (No. 139)
Inequivalent atoms, fractional coordinates:
Pa1 0.0000 0.0000 0.0000 x2  12 Tc 2.84-2.96
Tc1 0.0000 0.0000 0.5000 x2  8 Tc 2.84, 4 Pa 2.96
Tc2 0.0000 0.5000 0.2500 x4  4 Pa 2.84, 8 Tc 2.84-2.96

Values from the calculation:
The value obtained for the formation energy is 0.04 eV per atom. The calculation puts the polymorph energy (0 for the lowest one) at 140 meV/atom. The uncorrected energy is -0.7426 Ry per atom.



Pa3TcTe2: relaxed, PBE.

Cell lengths 7.2482, 12.5263, 7.6039 Å; angles 90.00, 108.73, 90.00 degrees
Last column: nearest neighbours and their distance in Å.
Space group C2/m (No. 12)
Inequivalent atoms, fractional coordinates:
Pa1 0.2046 0.0000 0.2077 x4  2 Tc 2.76, 2 Te 3.04
Pa2 0.2457 0.1828 0.7843 x8  2 Tc 2.77-2.79, 1 Te 3.06
Tc1 0.0000 0.1677 0.0000 x4  6 Pa 2.76-2.79
Te1 0.0000 0.0000 0.5000 x2  6 Pa 3.04-3.26
Te2 0.0000 0.3476 0.5000 x4  6 Pa 3.10-3.28
Te3 0.0000 0.5000 0.0000 x2  6 Pa 3.04-3.06

Values from the calculation:
Its energy relative to the elements, uncorrected is -3.04 eV/f.u. The uncorrected energy is -0.5902 Ry per atom.



Pa2TcTe: relaxed, PBE.

Cell lengths 3.3734, 3.3734, 8.0196 Å; angles 90.00, 90.00, 90.00 degrees
Last column: nearest neighbours and their distance in Å.
Space group P4/mmm (No. 123)
Inequivalent atoms, fractional coordinates:
Pa1 0.0000 0.0000 0.2255 x2  4 Tc 2.99, 4 Te 3.25
Tc1 0.5000 0.5000 0.0000 x1  8 Pa 2.99
Te1 0.5000 0.5000 0.5000 x1  8 Pa 3.25, 4 Te 3.37

Values from the calculation:
Its energy relative to the elements, uncorrected is -1.50 eV/f.u. The calculation puts the polymorph energy (0 for the lowest one) at 84 meV/atom. The uncorrected energy is -0.6247 Ry per atom.